Record 1
12
Lattice="2.668 -8.007 0.000 2.668 8.007 0.000 0.000 0.000 7.485" Properties=species:S:1:pos:R:3 comment="Dy6TlIn5 (PBE-GGA, optimized geometry)" polymorph_energy_mev_per_atom=0.0 spacegroup="Cmmm, No. 65" pbc="T T T"
Dy 0.000 0.000 1.866
Dy 0.000 0.000 5.619
Dy 2.668 2.674 1.866
Dy 2.668 2.674 5.619
Dy 2.668 -2.674 1.866
Dy 2.668 -2.674 5.619
Tl 2.668 0.000 3.743
In 2.668 5.341 0.000
In 2.668 5.335 3.743
In 2.668 0.000 0.000
In 2.668 -5.341 0.000
In 2.668 -5.335 3.743

Record 2
4
Lattice="4.657 0.000 0.000 0.000 4.657 0.000 0.000 0.000 4.744" Properties=species:S:1:pos:R:3 comment="DyTlIn2 (PBE-GGA, optimized geometry)" polymorph_energy_mev_per_atom=0.0 spacegroup="P4/mmm, No. 123" pbc="T T T"
Dy 0.000 0.000 0.000
Tl 2.328 2.328 0.000
In 0.000 2.328 2.372
In 2.328 0.000 2.372

Record 3
16
Lattice="6.490 0.000 0.000 0.000 7.829 0.000 0.000 0.000 8.270" Properties=species:S:1:pos:R:3 comment="DyTlIn2 (PBE-GGA, optimized geometry)" polymorph_energy_mev_per_atom=45.2 spacegroup="Imma, No. 74" pbc="T T T"
Dy 0.000 1.957 0.481
Dy 0.000 5.872 7.789
Dy 3.245 1.957 3.654
Dy 3.245 5.872 4.616
Tl 0.000 1.957 3.765
Tl 0.000 5.872 4.505
Tl 3.245 1.957 0.370
Tl 3.245 5.872 7.900
In 1.623 0.426 6.202
In 1.623 3.489 6.202
In 1.623 4.340 2.067
In 1.623 7.404 2.067
In 4.868 0.426 6.202
In 4.868 3.489 6.202
In 4.868 4.340 2.067
In 4.868 7.404 2.067

Record 4
10
Lattice="7.668 0.000 0.000 0.000 7.668 0.000 0.000 0.000 4.647" Properties=species:S:1:pos:R:3 comment="Dy2TlIn2 (PBE-GGA, optimized geometry)" polymorph_energy_mev_per_atom=26.7 spacegroup="P4/mbm, No. 127" pbc="T T T"
Dy 1.286 2.548 0.000
Dy 2.548 6.382 0.000
Dy 5.120 1.286 0.000
Dy 6.382 5.120 0.000
Tl 0.000 0.000 2.324
Tl 3.834 3.834 2.324
In 1.019 4.853 2.324
In 2.815 1.019 2.324
In 4.853 6.649 2.324
In 6.649 2.815 2.324

Record 5
14
Lattice="4.608 0.000 0.000 0.000 23.042 0.000 0.000 0.000 3.526" Properties=species:S:1:pos:R:3 comment="Dy3Tl2In2 (PBE-GGA, optimized geometry)" polymorph_energy_mev_per_atom=0.0 spacegroup="Cmmm, No. 65" pbc="T T T"
Dy 0.000 0.000 0.000
Dy 0.000 3.569 0.000
Dy 0.000 19.473 0.000
Dy 2.304 7.952 0.000
Dy 2.304 11.521 0.000
Dy 2.304 15.090 0.000
Tl 0.000 9.842 1.763
Tl 0.000 13.200 1.763
Tl 2.304 1.679 1.763
Tl 2.304 21.363 1.763
In 0.000 6.611 1.763
In 0.000 16.431 1.763
In 2.304 4.910 1.763
In 2.304 18.132 1.763

Record 6
4
Lattice="4.741 0.000 0.000 0.000 4.741 0.000 0.000 0.000 4.701" Properties=species:S:1:pos:R:3 comment="DyTl2In (PBE-GGA, optimized geometry)" dft_energy_ry_per_atom=-0.2427 spacegroup="P4/mmm, No. 123" pbc="T T T"
Dy 0.000 0.000 0.000
Tl 0.000 2.370 2.351
Tl 2.370 0.000 2.351
In 2.370 2.370 0.000

Record 7
8
Lattice="7.071 0.000 0.000 0.000 8.480 0.000 0.000 0.000 3.580" Properties=species:S:1:pos:R:3 comment="Dy2TlIn (PBE-GGA, optimized geometry)" dft_energy_ry_per_atom=-0.2925 spacegroup="Cmmm, No. 65" pbc="T T T"
Dy 1.768 2.120 0.000
Dy 1.768 6.360 0.000
Dy 5.304 2.120 0.000
Dy 5.304 6.360 0.000
Tl 0.000 0.000 1.790
Tl 3.536 4.240 1.790
In 0.000 4.240 1.790
In 3.536 0.000 1.790

Record 8
12
Lattice="2.693 -8.083 0.000 2.693 8.083 0.000 0.000 0.000 7.481" Properties=species:S:1:pos:R:3 comment="Dy6Tl5In (PBE-GGA, optimized geometry)" polymorph_energy_mev_per_atom=0.0 spacegroup="Cmmm, No. 65" pbc="T T T"
Dy 0.000 0.000 1.864
Dy 0.000 0.000 5.618
Dy 2.693 2.687 1.866
Dy 2.693 2.687 5.615
Dy 2.693 -2.687 1.866
Dy 2.693 -2.687 5.615
Tl 2.693 5.387 0.000
Tl 2.693 5.385 3.741
Tl 2.693 0.000 3.741
Tl 2.693 -5.387 0.000
Tl 2.693 -5.385 3.741
In 2.693 0.000 0.000